Below is a geometry-optimized RbBa2Se2 structure, with properties calculated at the PBE level.

abc: 6.103 6.103 13.580
angles: 90.00 90.00 90.00
Element x y z (fractional)
1 Rb 0.000 0.000 0.000
2 Rb 0.500 0.500 0.500
3 Ba 0.000 0.000 0.320
4 Ba 0.000 0.000 0.680
5 Ba 0.500 0.500 0.180
6 Ba 0.500 0.500 0.820
7 Se 0.000 0.500 0.250
8 Se 0.000 0.500 0.750
9 Se 0.500 0.000 0.250
10 Se 0.500 0.000 0.750

The value obtained for the calculated density is 3.4 g cm⁻³. Its total energy is -18.558 eV/f.u. For the energy above the most stable polymorph in this dataset, the calculation gives 0.290 eV/f.u. Its energy relative to the elements, uncorrected is -1.3552 eV/atom.